Record 1
Here is a geometry-optimized TmGaSi structure from Alexandria via LeMat-Bulk. Energies are from PBE-GGA.

Computed properties:
The formation energy (no corrections) is -0.50 eV per atom.

a b c (Å): 3.753 4.195 7.924
angles (deg): 105.35 90.00 90.00
Positions (direct):
1 Ga 0.750 0.260 0.521
2 Ga 0.250 0.740 0.479
3 Tm 0.750 0.906 0.812
4 Tm 0.250 0.094 0.188
5 Si 0.250 0.447 0.893
6 Si 0.750 0.553 0.107



Record 2
Here is a geometry-optimized CaLa3Pd structure from Alexandria via LeMat-Bulk. Energies are from PBE-GGA.

Computed properties:
For the energy above the most stable polymorph in this dataset, the calculation gives 0.000 eV/atom. The formation energy comes out at -211 meV per atom.

a b c (Å): 6.476 7.997 7.997
angles (deg): 120.00 90.00 90.00
Positions (direct):
1 Ca 0.250 0.333 0.667
2 Ca 0.750 0.667 0.333
3 La 0.250 0.822 0.643
4 La 0.250 0.822 0.178
5 La 0.250 0.357 0.178
6 La 0.750 0.178 0.822
7 La 0.750 0.178 0.357
8 La 0.750 0.643 0.822
9 Pd 0.000 0.000 0.000
10 Pd 0.500 0.000 0.000



Record 3
Here is a geometry-optimized Pm2ZrNi structure from Alexandria via LeMat-Bulk. Energies are from PBE-GGA.

Computed properties:
For the energy above the most stable polymorph in this dataset, the calculation gives 0.341 eV/atom. The formation energy comes out at 323 meV per atom.

a b c (Å): 3.429 3.429 10.516
angles (deg): 80.62 80.62 60.00
Positions (direct):
1 Zr 0.000 0.000 0.000
2 Pm 0.895 0.895 0.314
3 Pm 0.105 0.105 0.686
4 Ni 0.500 0.500 0.500



Record 4
Here is a geometry-optimized InGaTe2 structure from Alexandria via LeMat-Bulk. Energies are from PBE-GGA.

Computed properties:
The formation energy (no corrections) is -0.30 eV per atom.

a b c (Å): 6.954 6.954 6.954
angles (deg): 103.91 103.91 121.27
Positions (direct):
1 Ga 0.750 0.250 0.500
2 Ga 0.250 0.750 0.500
3 Te 0.329 0.829 0.157
4 Te 0.171 0.329 0.500
5 Te 0.829 0.671 0.500
6 Te 0.671 0.171 0.843
7 In 0.250 0.250 0.000
8 In 0.750 0.750 0.000



Number 1: final energy -4.8082 eV/atom. Number 2: final energy -4.6064 eV/atom. Number 3: final energy -5.6349 eV/atom. Number 4: final energy -3.3074 eV/atom.